No. 1
YCdMo2 at its PBEsol-relaxed geometry, computed with meta-GGA SCAN.

Lattice parameters (Å, degrees): 4.7184 4.7184 4.7184 60.00 60.00 60.00
Closest atoms and distances in Å follow each position.
Positions (direct):
Y1 0.0000 0.0000 0.0000  4 Cd 2.89, 4 Mo 2.89
Cd1 0.2500 0.2500 0.2500  4 Mo 2.89, 4 Y 2.89
Mo1 0.5000 0.5000 0.5000  4 Cd 2.89, 4 Mo 2.89
Mo2 0.7500 0.7500 0.7500  4 Mo 2.89, 4 Y 2.89

* space group: F-43m
* DFT formation energy: 0.3465 eV/atom
* magnetic moment: 0.01 μB per cell
* Fermi-level density of states: 4.65 states/eV/cell

---

No. 2
Y2CdMo at its PBEsol-relaxed geometry, computed with meta-GGA SCAN.

Lattice parameters (Å, degrees): 5.1683 5.1683 5.9449 99.34 99.34 35.35
Closest atoms and distances in Å follow each position.
Positions (direct):
Y1 0.2442 0.2442 0.2378  3 Mo 3.01-3.09, 3 Cd 3.08-3.15, 4 Y 3.14-3.25
Y2 0.7558 0.7558 0.7622  3 Mo 3.01-3.09, 3 Cd 3.08-3.15, 4 Y 3.14-3.25
Cd1 0.0000 0.0000 0.5000  6 Y 3.08-3.15, 2 Cd 3.14, 4 Mo 3.36
Mo1 0.5000 0.5000 0.0000  6 Y 3.01-3.09, 2 Mo 3.14, 4 Cd 3.36

* space group: C2/m
* DFT formation energy: 0.3771 eV/atom
* magnetic moment: 0.00 μB per cell
* Fermi-level density of states: 4.26 states/eV/cell

---

No. 3
ZnCdMo2 at its PBEsol-relaxed geometry, computed with meta-GGA SCAN.

Lattice parameters (Å, degrees): 2.6789 2.6789 8.8181 90.00 90.00 98.47
Closest atoms and distances in Å follow each position.
Positions (direct):
Zn1 0.0000 0.0000 0.0000  4 Zn 2.68, 8 Mo 2.71-2.90
Cd1 0.0000 0.0000 0.5000  4 Cd 2.68, 4 Mo 2.92
Mo1 0.5000 0.5000 0.2342  4 Mo 2.68, 4 Zn 2.71-2.90, 2 Cd 2.92
Mo2 0.5000 0.5000 0.7658  4 Mo 2.68, 4 Zn 2.71-2.90, 2 Cd 2.92

* space group: Cmmm
* DFT formation energy: 0.2908 eV/atom
* magnetic moment: 0.00 μB per cell
* energy relative to the lowest polymorph listed for this composition: 0.00 eV per formula unit
* Fermi-level density of states: 1.96 states/eV/cell

---

No. 4
ZnCd2Mo at its PBEsol-relaxed geometry, computed with meta-GGA SCAN.

Lattice parameters (Å, degrees): 2.7802 2.7802 9.0332 90.00 90.00 101.64
Closest atoms and distances in Å follow each position.
Positions (direct):
Zn1 0.0000 0.0000 0.0000  4 Mo 2.64-2.92, 4 Zn 2.78, 2 Cd 2.85
Cd1 0.0000 0.0000 0.5301  6 Cd 2.78-3.09, 2 Mo 2.88
Cd2 0.5000 0.5000 0.2488  6 Cd 2.78-3.09, 4 Zn 2.85-3.11
Mo1 0.5000 0.5000 0.7821  4 Zn 2.64-2.92, 4 Mo 2.78, 2 Cd 2.88

* space group: Cmm2
* DFT formation energy: 0.2253 eV/atom
* magnetic moment: 0.00 μB per cell
* Fermi-level density of states: 1.56 states/eV/cell

---

No. 5
ZnCd2Mo at its PBEsol-relaxed geometry, computed with meta-GGA SCAN.

Lattice parameters (Å, degrees): 4.6013 4.6013 4.6013 60.00 60.00 60.00
Closest atoms and distances in Å follow each position.
Positions (direct):
Zn1 0.0000 0.0000 0.0000  4 Mo 2.82, 4 Cd 2.82
Cd1 0.5000 0.5000 0.5000  4 Cd 2.82, 4 Mo 2.82
Cd2 0.7500 0.7500 0.7500  4 Zn 2.82, 4 Cd 2.82
Mo1 0.2500 0.2500 0.2500  4 Cd 2.82, 4 Zn 2.82

* space group: F-43m
* DFT formation energy: 0.4653 eV/atom
* magnetic moment: 2.39 μB per cell
* Fermi-level density of states: 1.65 states/eV/cell

---

No. 6
ZnCd2Mo at its PBEsol-relaxed geometry, computed with meta-GGA SCAN.

Lattice parameters (Å, degrees): 2.7932 2.7932 8.7476 90.00 90.00 90.00
Closest atoms and distances in Å follow each position.
Positions (direct):
Zn1 0.0000 0.0000 0.0000  4 Mo 2.74, 4 Zn 2.79, 4 Cd 2.93
Cd1 0.0000 0.0000 0.5301  4 Cd 2.79, 4 Mo 2.96
Cd2 0.5000 0.5000 0.2475  4 Cd 2.79, 4 Zn 2.93
Mo1 0.5000 0.5000 0.7825  4 Zn 2.74, 4 Mo 2.79, 4 Cd 2.96

* space group: P4mm
* DFT formation energy: 0.2358 eV/atom
* magnetic moment: 0.00 μB per cell
* Fermi-level density of states: 1.87 states/eV/cell

---

No. 7
ZnCd2Mo at its PBEsol-relaxed geometry, computed with meta-GGA SCAN.

Lattice parameters (Å, degrees): 3.9940 3.9940 4.1948 90.00 90.00 90.00
Closest atoms and distances in Å follow each position.
Positions (direct):
Zn1 0.0000 0.0000 0.0000  4 Mo 2.82, 8 Cd 2.90
Cd1 0.0000 0.5000 0.5000  4 Cd 2.82, 4 Mo 2.90, 4 Zn 2.90
Cd2 0.5000 0.0000 0.5000  4 Cd 2.82, 4 Mo 2.90, 4 Zn 2.90
Mo1 0.5000 0.5000 0.0000  4 Zn 2.82, 8 Cd 2.90

* space group: P4/mmm
* DFT formation energy: 0.2550 eV/atom
* magnetic moment: 0.00 μB per cell
* Fermi-level density of states: 1.00 states/eV/cell

---

No. 8
ZnCdMo2 at its PBEsol-relaxed geometry, computed with meta-GGA SCAN.

Lattice parameters (Å, degrees): 3.4787 4.0257 4.4724 90.00 90.00 90.00
Closest atoms and distances in Å follow each position.
Positions (direct):
Zn1 0.0000 0.0000 0.0000  4 Cd 2.66, 4 Mo 2.83
Cd1 0.5000 0.5000 0.0000  4 Zn 2.66, 4 Mo 2.83
Mo1 0.0000 0.5000 0.5000  4 Mo 2.66, 4 Cd 2.83
Mo2 0.5000 0.0000 0.5000  4 Mo 2.66, 4 Zn 2.83

* space group: Pmmm
* DFT formation energy: 0.3033 eV/atom
* magnetic moment: 0.00 μB per cell
* energy relative to the lowest polymorph listed for this composition: 0.05 eV per formula unit
* Fermi-level density of states: 1.87 states/eV/cell

---

No. 9
ZnCdMo2 at its PBEsol-relaxed geometry, computed with meta-GGA SCAN.

Lattice parameters (Å, degrees): 4.8246 4.8246 5.1425 94.56 94.56 32.10
Closest atoms and distances in Å follow each position.
Positions (direct):
Zn1 0.0000 0.0000 0.0000  2 Zn 2.67, 3 Cd 2.68-2.85, 5 Mo 2.80-2.87
Cd1 0.2494 0.2494 0.7708  2 Cd 2.67, 3 Zn 2.68-2.85, 7 Mo 2.87-2.97
Mo1 0.5001 0.5001 0.4787  5 Mo 2.57-2.87, 2 Zn 2.80, 1 Cd 2.87
Mo2 0.7424 0.7424 0.2688  5 Mo 2.57-2.87, 3 Zn 2.86-2.87

* space group: Cm
* DFT formation energy: 0.3104 eV/atom
* magnetic moment: 0.00 μB per cell
* energy relative to the lowest polymorph listed for this composition: 0.08 eV per formula unit
* Fermi-level density of states: 1.65 states/eV/cell

---

No. 10
ZnCdMo2 at its PBEsol-relaxed geometry, computed with meta-GGA SCAN.

Lattice parameters (Å, degrees): 2.6818 2.6818 8.6845 90.00 90.00 90.00
Closest atoms and distances in Å follow each position.
Positions (direct):
Zn1 0.0000 0.0000 0.0000  4 Zn 2.68, 8 Mo 2.78
Cd1 0.0000 0.0000 0.5000  4 Cd 2.68, 8 Mo 2.99
Mo1 0.5000 0.5000 0.2339  4 Mo 2.68, 4 Zn 2.78, 4 Cd 2.99
Mo2 0.5000 0.5000 0.7661  4 Mo 2.68, 4 Zn 2.78, 4 Cd 2.99

* space group: P4/mmm
* DFT formation energy: 0.2962 eV/atom
* magnetic moment: 0.00 μB per cell
* energy relative to the lowest polymorph listed for this composition: 0.02 eV per formula unit
* Fermi-level density of states: 2.00 states/eV/cell

---

No. 11
ZnCd2Mo at its PBEsol-relaxed geometry, computed with meta-GGA SCAN.

Lattice parameters (Å, degrees): 2.8222 3.9941 6.0572 90.00 90.00 90.00
Closest atoms and distances in Å follow each position.
Positions (direct):
Zn1 0.0000 0.0000 0.0000  4 Mo 2.74, 5 Cd 2.80-2.94, 2 Zn 2.82
Cd1 0.0000 0.0000 0.5376  1 Zn 2.80, 6 Cd 2.82-2.94, 4 Mo 2.90
Cd2 0.5000 0.5000 0.2683  6 Cd 2.82-2.94, 1 Mo 2.87, 4 Zn 2.94
Mo1 0.5000 0.5000 0.7946  4 Zn 2.74, 2 Mo 2.82, 5 Cd 2.87-2.90

* space group: Pmm2
* DFT formation energy: 0.3484 eV/atom
* magnetic moment: 0.00 μB per cell
* Fermi-level density of states: 2.15 states/eV/cell

---

No. 12
ZrCd2Mo at its PBEsol-relaxed geometry, computed with meta-GGA SCAN.

Lattice parameters (Å, degrees): 10.3396 10.3396 10.3396 16.16 16.16 16.16
Closest atoms and distances in Å follow each position.
Positions (direct):
Zr1 0.0000 0.0000 0.0000  6 Zr 2.91, 6 Cd 3.16
Cd1 0.2458 0.2458 0.2458  6 Cd 2.91, 3 Mo 2.95, 3 Zr 3.16
Cd2 0.7542 0.7542 0.7542  6 Cd 2.91, 3 Mo 2.95, 3 Zr 3.16
Mo1 0.5000 0.5000 0.5000  6 Mo 2.91, 6 Cd 2.95

* space group: R-3m
* DFT formation energy: 0.2703 eV/atom
* magnetic moment: 0.00 μB per cell
* Fermi-level density of states: 2.32 states/eV/cell

---

No. 13
CdN at its PBEsol-relaxed geometry, computed with meta-GGA SCAN.

Lattice parameters (Å, degrees): 2.9372 4.8887 8.4686 95.72 97.52 90.01
Closest atoms and distances in Å follow each position.
Positions (direct):
Cd1 0.0000 0.0000 0.0000  6 Cd 2.85-2.94
Cd2 0.4991 0.4997 0.9976  6 Cd 2.85-2.94
N1 0.4873 0.8026 0.4598  1 N 1.11
N2 0.5174 0.6366 0.5413  1 N 1.11

* space group: P1
* E_form (uncorrected): 0.18 eV/atom
* magnetic moment: 0.00 μB per cell
* Fermi-level density of states: 0.95 states/eV/cell

---

No. 14
NaCdN at its PBEsol-relaxed geometry, computed with meta-GGA SCAN.

Lattice parameters (Å, degrees): 3.7966 3.7966 4.7303 90.00 90.00 120.00
Closest atoms and distances in Å follow each position.
Positions (direct):
Na1 0.0000 0.0000 0.0000  2 N 2.37
Cd1 0.6667 0.3333 0.5000  3 N 2.19
N1 0.0000 0.0000 0.5000  3 Cd 2.19, 2 Na 2.37

* space group: P-6m2
* E_form (uncorrected): 0.27 eV/atom
* magnetic moment: 0.00 μB per cell
* Fermi-level density of states: 0.33 states/eV/cell

---

No. 15
NaCdN3 at its PBEsol-relaxed geometry, computed with meta-GGA SCAN.

Lattice parameters (Å, degrees): 4.2286 4.2286 4.2286 90.00 90.00 90.00
Closest atoms and distances in Å follow each position.
Positions (direct):
Na1 0.0000 0.0000 0.0000  6 N 2.11
Cd1 0.5000 0.5000 0.5000  12 N 2.99
N1 0.0000 0.0000 0.5000  2 Na 2.11
N2 0.0000 0.5000 0.0000  2 Na 2.11
N3 0.5000 0.0000 0.0000  2 Na 2.11

* space group: Pm-3m
* E_form (uncorrected): 2.25 eV/atom
* magnetic moment: 6.00 μB per cell
* Fermi-level density of states: 2.13 states/eV/cell

---

no.,density (g/cm3),final energy (eV per atom)
1,8.79,-31.66
2,7.08,-29.87
3,9.81,-28.13
4,9.38,-27.08
5,9.31,-26.84
6,9.40,-27.07
7,9.58,-27.05
8,9.80,-28.12
9,9.68,-28.11
10,9.83,-28.13
11,9.39,-26.96
12,9.16,-31.33
13,3.50,-19.68
14,4.20,-14.37
15,3.90,-10.25